Computed, not measured: Zr2CdAu at its PBEsol-relaxed geometry at the SCAN level of DFT.

Summary:
Energy of formation from the pure elements ... -0.442 eV/atom
SG ... P4/mmm

```
data_Zr2CdAu
_symmetry_space_group_name_H-M 'P 1'
_symmetry_Int_Tables_number 1
_symmetry_space_group_name_Hall 'P 1'
_cell_length_a 3.036
_cell_length_b 3.036
_cell_length_c 8.516
_cell_angle_alpha 90.00
_cell_angle_beta 90.00
_cell_angle_gamma 90.00
loop_
_atom_site_label
_atom_site_fract_x
_atom_site_fract_y
_atom_site_fract_z
Zr1 0.000 0.000 0.237
Zr2 0.000 0.000 0.763
Cd1 0.500 0.500 0.500
Au1 0.500 0.500 0.000
```